Record 1
# LiAuBr2 PBE optimized geometry
# excess energy over the best structure of this formula in the dataset = 0.380 eV/atom
# formation energy from raw total energies = -0.401 eV per atom
# energy = -2.54 eV per atom
data_LiAuBr2
_space_group_name_H-M_alt 'F m -3 m'
_space_group_IT_number 225
_space_group_name_Hall '-F 4 2 3'
_cell_length_a 7.111
_cell_length_b 7.111
_cell_length_c 7.111
_cell_angle_alpha 90.00
_cell_angle_beta 90.00
_cell_angle_gamma 90.00
loop_
_atom_site_label
_atom_site_fract_x
_atom_site_fract_y
_atom_site_fract_z
Li1 0.000 0.000 0.000
Au1 0.000 0.000 0.500
Br1 0.250 0.250 0.250


Record 2
# Ca2ScCd PBE optimized geometry
# ΔE_f = 0.1 eV per formula unit
# energy = -2.80 eV per atom
data_Ca2ScCd
_space_group_name_H-M_alt 'P 1 m 1'
_space_group_IT_number 6
_cell_length_a 3.735
_cell_length_b 5.187
_cell_length_c 6.736
_cell_angle_alpha 90.00
_cell_angle_beta 106.05
_cell_angle_gamma 90.00
loop_
_space_group_symop_operation_xyz
'x,y,z'
'x,-y,z'
loop_
_atom_site_label
_atom_site_fract_x
_atom_site_fract_y
_atom_site_fract_z
Ca1 0.000 0.000 0.000
Ca2 0.331 0.500 0.664
Sc1 0.722 0.000 0.447
Cd1 0.606 0.500 0.210


Record 3
# RbTlSbTe2 PBE optimized geometry
# excess energy over the best structure of this formula in the dataset = 0.629 eV/atom
# formation energy from raw total energies = 0.749 eV per atom
# energy = -2.00 eV per atom
data_RbTlSbTe2
_space_group_name_H-M_alt 'P 4/m m m'
_space_group_IT_number 123
_space_group_name_Hall '-P 4 2'
_cell_length_a 6.388
_cell_length_b 6.388
_cell_length_c 6.153
_cell_angle_alpha 90.00
_cell_angle_beta 90.00
_cell_angle_gamma 90.00
loop_
_atom_site_label
_atom_site_fract_x
_atom_site_fract_y
_atom_site_fract_z
Rb1 0.000 0.000 0.000
Tl1 0.500 0.500 0.500
Sb1 0.000 0.000 0.500
Te1 0.000 0.500 0.000


Record 4
# TbTcSn2 PBE optimized geometry
# ΔE_f = -0.9 eV per formula unit
# excess energy over the best structure of this formula in the dataset = 0.000 eV/atom
# energy = -5.98 eV per atom
data_TbTcSn2
_space_group_name_H-M_alt 'R -3 m'
_space_group_IT_number 166
_space_group_name_Hall '-R 3 2"'
_cell_length_a 4.5720
_cell_length_b 4.5720
_cell_length_c 14.9478
_cell_angle_alpha 90.00
_cell_angle_beta 90.00
_cell_angle_gamma 120.00
loop_
_atom_site_label
_atom_site_fract_x
_atom_site_fract_y
_atom_site_fract_z
Tb1 0.0000 0.0000 0.0000
Tc1 0.0000 0.0000 0.5000
Sn1 0.0000 0.0000 0.2268


Record 5
# Sc2TcB PBE optimized geometry
# ΔE_f = 1.6 eV per formula unit
# energy = -7.02 eV per atom
data_Sc2TcB
_space_group_name_H-M_alt 'R -3 m'
_space_group_IT_number 166
_space_group_name_Hall '-R 3 2"'
_cell_length_a 3.0456
_cell_length_b 3.0456
_cell_length_c 25.0427
_cell_angle_alpha 90.00
_cell_angle_beta 90.00
_cell_angle_gamma 120.00
loop_
_atom_site_label
_atom_site_fract_x
_atom_site_fract_y
_atom_site_fract_z
Sc1 0.0000 0.0000 0.1016
Tc1 0.0000 0.0000 0.0000
B1 0.0000 0.0000 0.5000


Question: Which of these has the lowest energy?
Answer: Sc2TcB


Question: What is the energy in the fourth record?
Answer: -5.98 eV per atom